# meta-GGA SCAN Li2BiS3, single point on PBEsol structure
# **Crystal system**: triclinic
# **Total magnetic moment**: 0.00 μB per formula unit
# **E**: -117.3 eV per formula unit
data_Li2BiS3
_space_group_name_H-M_alt 'P -1'
_space_group_IT_number 2
_cell_length_a 5.520
_cell_length_b 6.921
_cell_length_c 7.068
_cell_angle_alpha 79.39
_cell_angle_beta 71.43
_cell_angle_gamma 72.55
loop_
_space_group_symop_operation_xyz
'x,y,z'
'-x,-y,-z'
loop_
_atom_site_label
_atom_site_fract_x
_atom_site_fract_y
_atom_site_fract_z
_atom_site_occupancy
Li1 0.052 0.105 0.283 1
Li2 0.268 0.680 0.050 1
Bi1 0.334 0.277 0.590 1
S1 0.157 0.725 0.399 1
S2 0.163 0.373 0.006 1
S3 0.416 0.902 0.761 1